1.
Entry from Alexandria via LeMat-Bulk: a relaxed HoZr2ScAs4 crystal (PBE).

Results
M_tot	0.00	μB/f.u.
DOS(E_F)	4.28	states/eV/f.u.
E_form	-1273	meV/atom

a b c (Å): 6.770 3.905 6.859
angles (deg): 90.00 109.27 90.00
Space group P2/m (No. 10)
One atom of each set of equivalent atoms:
Ho1 0.000 0.000 0.000 [1 per cell]
Zr1 0.000 0.500 0.500 [1 per cell]
Zr2 0.500 0.000 0.500 [1 per cell]
Sc1 0.500 0.500 0.000 [1 per cell]
As1 0.255 0.000 0.748 [2 per cell]
As2 0.258 0.500 0.257 [2 per cell]

***

2.
Entry from Alexandria via LeMat-Bulk: a relaxed Ho6As5Se crystal (PBE).

Results
total DFT energy (no corrections)	-6.13	eV/atom
M_tot	0.00	μB/f.u.
DOS(E_F)	2.51	states/eV/f.u.

a b c (Å): 7.091 12.275 7.094
angles (deg): 90.00 109.45 90.00
Space group C2/m (No. 12)
One atom of each set of equivalent atoms:
Ho1 0.245 0.000 0.253 [4 per cell]
Ho2 0.246 0.170 0.747 [8 per cell]
As1 0.000 0.000 0.500 [2 per cell]
As2 0.000 0.167 0.000 [4 per cell]
As3 0.000 0.335 0.500 [4 per cell]
Se1 0.000 0.500 0.000 [2 per cell]

***

3.
Entry from Alexandria via LeMat-Bulk: a relaxed HoAsSe crystal (PBE).

Results
total DFT energy (no corrections)	-5.65	eV/atom
M_tot	0.00	μB/f.u.
DOS(E_F)	1.45	states/eV/f.u.

a b c (Å): 3.897 3.897 8.757
angles (deg): 90.00 90.00 90.00
Space group P4/nmm (No. 129, origin choice 2)
One atom of each set of equivalent atoms:
Ho1 0.250 0.250 0.223 [2 per cell]
As1 0.250 0.750 0.500 [2 per cell]
Se1 0.250 0.250 0.876 [2 per cell]

***

4.
Entry from Alexandria via LeMat-Bulk: a relaxed Ho5AsSe5 crystal (PBE).

Results
total DFT energy (no corrections)	-5.90	eV/atom
M_tot	0.00	μB/f.u.
DOS(E_F)	3.36	states/eV/f.u.

a b c (Å): 12.819 5.745 8.101
angles (deg): 90.00 108.46 90.00
Space group C2/m (No. 12)
One atom of each set of equivalent atoms:
Ho1 0.000 0.000 0.000 [2 per cell]
Ho2 0.161 0.500 0.829 [4 per cell]
Ho3 0.163 0.500 0.332 [4 per cell]
As1 0.000 0.500 0.000 [2 per cell]
Se1 0.000 0.500 0.500 [2 per cell]
Se2 0.167 0.000 0.335 [4 per cell]
Se3 0.168 0.000 0.834 [4 per cell]